1.
Compound: AlSbOs2
Source: Alexandria
Functional: PBE-GGA
Structure: relaxed

Energy above the most stable polymorph in this dataset: 110 kJ/mol of formula units

a = 5.457 Å, b = 5.457 Å, c = 5.457 Å
α = 146.66°, β = 133.57°, γ = 58.36°
Fractional positions:
Sb1 0.502 0.502 0.000
Os1 0.015 0.015 0.000
Os2 0.747 0.247 0.500
Al1 0.236 0.736 0.500

---

2.
Compound: PtPbW2
Source: Alexandria
Functional: PBE-GGA
Structure: relaxed

Energy of formation from the pure elements: 0.63 eV per atom

a = 4.584 Å, b = 3.937 Å, c = 3.937 Å
α = 90.00°, β = 90.00°, γ = 90.00°
Fractional positions:
Pb1 0.500 0.500 0.000
Pt1 0.500 0.000 0.500
W1 0.000 0.000 0.000
W2 0.000 0.500 0.500

---

Number 1: total magnetization 0.00 μB per formula unit. Number 2: total magnetization 0.00 μB per formula unit.